No. 1
TlNi2Te: optimized geometry, PBE-GGA.

Values from the calculation:
formation energy (no corrections) = 275 meV/atom
final energy = -3.993 eV/atom
calculated volume = 18.37 A^3/atom
energy above the most stable polymorph in this dataset = 80 kJ/mol of formula units

a = 4.710 Å, b = 4.718 Å, c = 6.611 Å
α = 90.00°, β = 90.00°, γ = 90.00°
Space group Cmmm (No. 65)
Unique sites:
Tl 0.000 0.000 0.000 [2 per cell]
Ni 0.000 0.500 0.299 [4 per cell]
Te 0.000 0.000 0.500 [2 per cell]

No. 2
TlNi2Te: optimized geometry, PBE-GGA.

Values from the calculation:
formation energy (no corrections) = 205 meV/atom
final energy = -4.063 eV/atom
calculated volume = 19.16 A^3/atom
energy above the most stable polymorph in this dataset = 53 kJ/mol of formula units

a = 3.453 Å, b = 3.293 Å, c = 6.835 Å
α = 90.00°, β = 99.51°, γ = 90.00°
Space group P2/m (No. 10)
Unique sites:
Tl 0.000 0.000 0.000 [1 per cell]
Ni 0.064 0.500 0.689 [2 per cell]
Te 0.500 0.000 0.500 [1 per cell]

No. 3
Tl2Ni2Te: optimized geometry, PBE-GGA.

Values from the calculation:
formation energy (no corrections) = 216 meV/atom
final energy = -3.672 eV/atom
calculated volume = 20.42 A^3/atom

a = 7.029 Å, b = 7.029 Å, c = 4.133 Å
α = 90.00°, β = 90.00°, γ = 90.00°
Space group P4/mbm (No. 127)
Unique sites:
Tl 0.162 0.338 0.000 [4 per cell]
Ni 0.138 0.638 0.500 [4 per cell]
Te 0.000 0.000 0.500 [2 per cell]

No. 4
TlNi2Te: optimized geometry, PBE-GGA.

Values from the calculation:
formation energy (no corrections) = 300 meV/atom
final energy = -3.968 eV/atom
calculated volume = 17.66 A^3/atom
energy above the most stable polymorph in this dataset = 90 kJ/mol of formula units

a = 3.383 Å, b = 4.563 Å, c = 4.575 Å
α = 90.00°, β = 90.00°, γ = 90.00°
Space group Pmmm (No. 47)
Unique sites:
Tl 0.000 0.000 0.000 [1 per cell]
Ni 0.500 0.000 0.500 [1 per cell]
Ni 0.500 0.500 0.000 [1 per cell]
Te 0.000 0.500 0.500 [1 per cell]

No. 5
TlNi2Te4: optimized geometry, PBE-GGA.

Values from the calculation:
formation energy (no corrections) = 441 meV/atom
final energy = -3.344 eV/atom
calculated volume = 30.77 A^3/atom

a = 5.486 Å, b = 5.486 Å, c = 14.315 Å
α = 90.00°, β = 90.00°, γ = 90.00°
Space group I4/mmm (No. 139)
Unique sites:
Tl 0.000 0.000 0.000 [2 per cell]
Ni 0.000 0.000 0.420 [4 per cell]
Te 0.000 0.000 0.254 [4 per cell]
Te 0.000 0.500 0.000 [4 per cell]

No. 6
TlNiTe3: optimized geometry, PBE-GGA.

Values from the calculation:
formation energy (no corrections) = 101 meV/atom
final energy = -3.413 eV/atom
calculated volume = 27.69 A^3/atom
energy above the most stable polymorph in this dataset = 0 kJ/mol of formula units

a = 5.173 Å, b = 5.173 Å, c = 5.173 Å
α = 90.00°, β = 90.00°, γ = 90.00°
Space group Pm-3m (No. 221)
Unique sites:
Tl 0.000 0.000 0.000 [1 per cell]
Ni 0.500 0.500 0.500 [1 per cell]
Te 0.000 0.500 0.500 [3 per cell]

No. 7
TlNi2Te: optimized geometry, PBE-GGA.

Values from the calculation:
formation energy (no corrections) = 322 meV/atom
final energy = -3.945 eV/atom
calculated volume = 17.80 A^3/atom
energy above the most stable polymorph in this dataset = 98 kJ/mol of formula units

a = 6.580 Å, b = 6.580 Å, c = 6.580 Å
α = 90.00°, β = 90.00°, γ = 90.00°
Space group Fm-3m (No. 225)
Unique sites:
Tl 0.000 0.000 0.000 [4 per cell]
Ni 0.250 0.250 0.250 [8 per cell]
Te 0.000 0.000 0.500 [4 per cell]

No. 8
TlNi2Te: optimized geometry, PBE-GGA.

Values from the calculation:
formation energy (no corrections) = 663 meV/atom
final energy = -3.605 eV/atom
calculated volume = 19.07 A^3/atom
energy above the most stable polymorph in this dataset = 230 kJ/mol of formula units

a = 6.732 Å, b = 6.732 Å, c = 6.732 Å
α = 90.00°, β = 90.00°, γ = 90.00°
Space group F-43m (No. 216)
Unique sites:
Tl 0.000 0.000 0.000 [4 per cell]
Ni 0.000 0.000 0.500 [4 per cell]
Ni 0.250 0.250 0.250 [4 per cell]
Te 0.250 0.250 0.750 [4 per cell]

- calculated volume of number 8 (TlNi2Te)?
  19.07 A^3/atom